Material: Ca3Pr3Sn4
Method: DFT, GGA-PBE
State: relaxed

```
Ca3Pr3Sn4
1.0
-1.726 2.977 3.113
-5.598 2.517 -5.512
-5.221 -5.807 2.660
Pr Ca Sn
3 3 4
Direct
0.500 0.674 0.674
0.500 0.326 0.326
0.500 0.828 0.172
0.000 0.000 0.501
0.000 0.499 0.000
0.500 0.174 0.826
0.000 0.873 0.876
0.000 0.626 0.374
0.000 0.377 0.623
0.000 0.124 0.127
```

Computed properties:
DFT formation energy   -669 kJ/mol of formula units
Electronic total energy   -4.329 eV/atom


Material: MnZn2Co
Method: DFT, GGA-PBE
State: relaxed

```
MnZn2Co
1.0
-0.271 2.052 -3.615
-0.435 -2.110 -3.565
-3.618 0.117 -2.062
Zn Mn Co
2 1 1
Direct
0.000 0.000 0.000
0.250 0.250 0.250
0.750 0.750 0.750
0.500 0.500 0.500
```

Computed properties:
DFT formation energy   14 kJ/mol of formula units
ΔE to the lowest computed polymorph   81 meV per atom
Electronic total energy   -4.668 eV/atom


Material: Ce2NdMgP4
Method: DFT, GGA-PBE
State: relaxed

```
Ce2NdMgP4
1.0
-3.134 2.526 -0.781
-1.560 0.169 6.805
3.464 5.279 3.175
Nd Ce P Mg
1 2 4 1
Direct
0.500 0.500 0.000
0.500 0.000 0.500
0.000 0.000 0.000
0.500 0.249 0.744
0.000 0.243 0.255
0.000 0.757 0.745
0.500 0.751 0.256
0.000 0.500 0.500
```

Computed properties:
DFT formation energy   -934 kJ/mol of formula units
Electronic total energy   -6.194 eV/atom


Material: Ba2Al4GaHg3
Method: DFT, GGA-PBE
State: relaxed

```
Ba2Al4GaHg3
1.0
4.677 0.000 0.000
0.000 4.677 0.000
0.000 0.000 11.451
Ba Hg Al Ga
2 3 4 1
Direct
0.000 0.500 0.746
0.500 0.000 0.254
0.000 0.500 0.133
0.500 0.000 0.867
0.000 0.000 0.500
0.500 0.000 0.628
0.000 0.000 0.000
0.500 0.500 0.000
0.000 0.500 0.372
0.500 0.500 0.500
```

Computed properties:
DFT formation energy   -295 kJ/mol of formula units
Electronic total energy   -2.581 eV/atom


Material: Ba2CaS3
Method: DFT, GGA-PBE
State: relaxed

```
Ba2CaS3
1.0
0.503 2.178 -3.753
-3.801 -4.089 -2.883
-3.564 4.743 4.818
Ba S Ca
2 3 1
Direct
0.668 0.168 0.335
0.332 0.832 0.665
0.650 0.650 0.299
0.000 0.000 0.000
0.350 0.350 0.701
0.000 0.500 0.000
```

Computed properties:
Formation energy (no corrections)   -197 kJ/mol of atoms
Electronic total energy   -5.083 eV/atom


Material: K3CaTl
Method: DFT, GGA-PBE
State: relaxed

```
K3CaTl
1.0
-5.629 3.071 3.566
-1.973 -6.587 2.559
4.273 1.004 5.879
K Ca Tl
3 1 1
Direct
0.000 0.000 0.500
0.500 0.000 0.000
0.000 0.500 0.000
0.000 0.000 0.000
0.500 0.500 0.500
```

Computed properties:
DFT formation energy   263 kJ/mol of formula units
ΔE to the lowest computed polymorph   301 meV per atom
Electronic total energy   -0.987 eV/atom


Material: Tb4Nd11Er9
Method: DFT, GGA-PBE
State: relaxed

```
Tb4Nd11Er9
1.0
3.667 0.000 0.000
0.000 14.140 -6.042
0.000 0.000 15.377
Nd Tb Er
11 4 9
Direct
0.000 0.000 0.000
0.000 0.632 0.368
0.000 0.292 0.292
0.000 0.595 0.957
0.000 0.368 0.632
0.000 0.043 0.405
0.000 0.708 0.708
0.000 0.840 0.160
0.000 0.957 0.595
0.000 0.160 0.840
0.000 0.405 0.043
0.500 0.555 0.759
0.500 0.759 0.555
0.500 0.445 0.241
0.500 0.241 0.445
0.500 0.068 0.213
0.500 0.787 0.932
0.500 0.631 0.165
0.500 0.369 0.835
0.500 0.213 0.068
0.500 0.500 0.500
0.500 0.932 0.787
0.500 0.835 0.369
0.500 0.165 0.631
```

Computed properties:
DFT formation energy   132 kJ/mol of formula units
Electronic total energy   -4.611 eV/atom


Material: AlTlV3
Method: DFT, GGA-PBE
State: relaxed

```
AlTlV3
1.0
4.581 0.000 0.000
0.000 4.581 0.000
0.000 0.000 4.581
V Al Tl
3 1 1
Direct
0.000 0.000 0.500
0.500 0.000 0.000
0.000 0.500 0.000
0.000 0.000 0.000
0.500 0.500 0.500
```

Computed properties:
DFT formation energy   528 kJ/mol of formula units
ΔE to the lowest computed polymorph   0 meV per atom
Electronic total energy   -5.599 eV/atom